DFT (GGA+U) results for a geometry-optimized Li2Ni5O10 structure.

- DFT total energy (eV per cell) = -80.786

Cell lengths 4.9763, 5.1962, 7.4118 Å; angles 83.88, 70.39, 71.84 degrees
Space group P-1 (No. 2)
Inequivalent atoms, fractional coordinates:
Li (0.1146, 0.4995, 0.2732) (multiplicity 2)
Ni (0.0000, 0.0000, 0.5000) (multiplicity 1)
Ni (0.1998, 0.0001, 0.1003) (multiplicity 2)
Ni (0.4003, 0.0001, 0.6994) (multiplicity 2)
O (0.0644, 0.1940, 0.8978) (multiplicity 2)
O (0.1015, 0.7899, 0.7025) (multiplicity 2)
O (0.2591, 0.1948, 0.4996) (multiplicity 2)
O (0.3035, 0.7900, 0.2982) (multiplicity 2)
O (0.4627, 0.1940, 0.1016) (multiplicity 2)